Record 1
Below is Li2ScTlH after structural relaxation, with properties calculated at the PBE level.

Properties
Total magnetic moment   0.000 μB/atom
Raw total energy   -3.465 eV per atom

The structure in CIF format:
```
data_Li2ScTlH
_symmetry_space_group_name_H-M 'P 1'
_symmetry_Int_Tables_number 1
_cell_length_a 4.192
_cell_length_b 4.192
_cell_length_c 4.545
_cell_angle_alpha 90.00
_cell_angle_beta 90.00
_cell_angle_gamma 90.00
loop_
_symmetry_equiv_pos_as_xyz
'x,y,z'
loop_
_atom_site_label
_atom_site_type_symbol
_atom_site_fract_x
_atom_site_fract_y
_atom_site_fract_z
_atom_site_occupancy
Li1 Li 0.000 0.500 0.000 1
Li2 Li 0.500 0.000 0.000 1
Sc1 Sc 0.000 0.000 0.500 1
Tl1 Tl 0.500 0.500 0.500 1
H1 H 0.000 0.000 0.000 1
```

***

Record 2
Below is CeHfSi2Ir5 after structural relaxation, with properties calculated at the PBE level.

Properties
Total magnetic moment   0.049 μB/atom
Raw total energy   -8.476 eV per atom

The structure in CIF format:
```
data_CeHfSi2Ir5
_symmetry_space_group_name_H-M 'P 1'
_symmetry_Int_Tables_number 1
_cell_length_a 3.976
_cell_length_b 3.976
_cell_length_c 11.086
_cell_angle_alpha 90.00
_cell_angle_beta 90.00
_cell_angle_gamma 90.00
loop_
_symmetry_equiv_pos_as_xyz
'x,y,z'
loop_
_atom_site_label
_atom_site_type_symbol
_atom_site_fract_x
_atom_site_fract_y
_atom_site_fract_z
_atom_site_occupancy
Ce1 Ce 0.000 0.000 0.000 1
Hf1 Hf 0.000 0.000 0.500 1
Si1 Si 0.500 0.500 0.213 1
Si2 Si 0.500 0.500 0.787 1
Ir1 Ir 0.000 0.500 0.328 1
Ir2 Ir 0.000 0.500 0.672 1
Ir3 Ir 0.500 0.000 0.328 1
Ir4 Ir 0.500 0.000 0.672 1
Ir5 Ir 0.500 0.500 0.000 1
```

***

> The lowest raw total energy belongs to which entry?

CeHfSi2Ir5

***

> Which value of total magnetic moment does entry 2 give?

0.049 μB/atom

***

Please write out number 2 again, unchanged.
Below is CeHfSi2Ir5 after structural relaxation, with properties calculated at the PBE level.

Properties
Total magnetic moment   0.049 μB/atom
Raw total energy   -8.476 eV per atom

The structure in CIF format:
```
data_CeHfSi2Ir5
_symmetry_space_group_name_H-M 'P 1'
_symmetry_Int_Tables_number 1
_cell_length_a 3.976
_cell_length_b 3.976
_cell_length_c 11.086
_cell_angle_alpha 90.00
_cell_angle_beta 90.00
_cell_angle_gamma 90.00
loop_
_symmetry_equiv_pos_as_xyz
'x,y,z'
loop_
_atom_site_label
_atom_site_type_symbol
_atom_site_fract_x
_atom_site_fract_y
_atom_site_fract_z
_atom_site_occupancy
Ce1 Ce 0.000 0.000 0.000 1
Hf1 Hf 0.000 0.000 0.500 1
Si1 Si 0.500 0.500 0.213 1
Si2 Si 0.500 0.500 0.787 1
Ir1 Ir 0.000 0.500 0.328 1
Ir2 Ir 0.000 0.500 0.672 1
Ir3 Ir 0.500 0.000 0.328 1
Ir4 Ir 0.500 0.000 0.672 1
Ir5 Ir 0.500 0.500 0.000 1
```